[1]
Computed, not measured: a relaxed BeBPb crystal at the PBE level of DFT.

## Properties
SG = No. 2
ΔE_f = 0.25 eV/atom
density of states at the Fermi level = 1.63 states/eV per cell

abc: 3.1195 3.6315 9.6898
angles: 81.37 86.86 64.50
Fractional coordinates of all 6 atoms:
Pb1 0.2148 0.1722 0.1876
Be1 0.9371 0.6641 0.3972
B1 0.7560 0.9729 0.5442
Pb2 0.7852 0.8278 0.8124
B2 0.2440 0.0271 0.4558
Be2 0.0629 0.3359 0.6028

***

[2]
Computed, not measured: a relaxed Be2TeP crystal at the PBE level of DFT.

## Properties
SG = No. 6
density of states at the Fermi level = 1.41 states/eV per cell
formation energy without anion corrections = -76 meV per atom

abc: 3.5820 3.5815 5.7358
angles: 89.69 90.00 90.00
Fractional coordinates of all 4 atoms:
Be1 0.0000 0.8750 0.1527
Te1 0.5000 0.8775 0.8369
Be2 0.5000 0.3744 0.1523
P1 0.0000 0.3731 0.3581

***

[3]
Computed, not measured: a relaxed ScCd4W crystal at the PBE level of DFT.

## Properties
SG = No. 216
ΔE_f = 0.42 eV/atom
density of states at the Fermi level = 5.84 states/eV per cell

abc: 5.5685 5.5685 5.5685
angles: 60.00 60.00 60.00
Last column: magnetic moment on the atom in μB.
Fractional coordinates of all 6 atoms:
Cd1 0.3745 0.8764 0.3745  0.00
Sc1 0.7500 0.7500 0.7500  0.10
Cd2 0.3745 0.3745 0.3745  0.00
W1 0.0000 0.0000 0.0000  1.33
Cd3 0.3745 0.3745 0.8764  0.00
Cd4 0.8764 0.3745 0.3745  0.00

***

[4]
Computed, not measured: a relaxed ZrTeI2Cl crystal at the PBE level of DFT.

## Properties
SG = No. 123
density of states at the Fermi level = 6.24 states/eV per cell
formation energy without anion corrections = -364 meV per atom

abc: 5.6698 5.6698 5.6522
angles: 90.00 90.00 90.00
Last column: magnetic moment on the atom in μB.
Fractional coordinates of all 5 atoms:
Cl1 0.5000 0.5000 0.5000  0.12
Zr1 0.0000 0.0000 0.0000  -0.02
I1 0.0000 0.5000 0.0000  0.03
I2 0.5000 0.0000 0.0000  0.03
Te1 0.0000 0.0000 0.5000  0.14

***

[5]
Computed, not measured: a relaxed La2ZnRhPb crystal at the PBE level of DFT.

## Properties
SG = No. 11
ΔE_f = -0.60 eV/atom
density of states at the Fermi level = 5.30 states/eV per cell

abc: 4.5149 7.5359 8.1150
angles: 107.21 90.00 90.00
Fractional coordinates of all 10 atoms:
Pb1 0.7500 0.3195 0.6516
La1 0.2500 0.1347 0.3339
Zn1 0.7500 0.4411 0.3198
Rh1 0.7500 0.1215 0.0906
La2 0.7500 0.7141 0.0402
La3 0.7500 0.8653 0.6661
Zn2 0.2500 0.5589 0.6802
Rh2 0.2500 0.8785 0.9094
Pb2 0.2500 0.6805 0.3484
La4 0.2500 0.2859 0.9598

***

[6]
Computed, not measured: a relaxed Er2ScAlN crystal at the PBE level of DFT.

## Properties
SG = No. 123
density of states at the Fermi level = 2.36 states/eV per cell
formation energy without anion corrections = -980 meV per atom

abc: 4.4495 4.7136 4.7136
angles: 90.00 90.00 90.00
Fractional coordinates of all 5 atoms:
Er1 0.0000 0.0000 0.5000
Sc1 0.5000 0.0000 0.0000
Er2 0.0000 0.5000 0.0000
Al1 0.5000 0.5000 0.5000
N1 0.0000 0.0000 0.0000

***

The highest density of states at the Fermi level belongs to which entry? ZrTeI2Cl

***

What did the sixth record say?
Computed, not measured: a relaxed Er2ScAlN crystal at the PBE level of DFT.

## Properties
SG = No. 123
density of states at the Fermi level = 2.36 states/eV per cell
formation energy without anion corrections = -980 meV per atom

abc: 4.4495 4.7136 4.7136
angles: 90.00 90.00 90.00
Fractional coordinates of all 5 atoms:
Er1 0.0000 0.0000 0.5000
Sc1 0.5000 0.0000 0.0000
Er2 0.0000 0.5000 0.0000
Al1 0.5000 0.5000 0.5000
N1 0.0000 0.0000 0.0000